[1]
DFT (meta-GGA SCAN) results for a crystal of EuVO4 relaxed with PBEsol.

abc: 6.0301 6.0301 6.0301
angles: 106.08 106.08 116.49
Last column: nearest neighbours and their distance in Å.
Positions (direct):
O: 0.8286 0.6464 0.8178  1 V 1.71
O: 0.8964 0.5786 0.3178  1 V 1.71
V: 0.0000 0.0000 0.0000  4 O 1.71
O: 0.9893 0.1714 0.8178  1 V 1.71
Eu: 0.7500 0.2500 0.5000  8 O 2.36-2.47
O: 0.8286 0.0107 0.1822  1 V 1.71
O: 0.3536 0.1714 0.1822  1 V 1.71
O: 0.4214 0.1036 0.6822  1 V 1.71
V: 0.2500 0.7500 0.5000  4 O 1.71
Eu: 0.5000 0.5000 0.0000  8 O 2.36-2.47
O: 0.2607 0.5786 0.6822  1 V 1.71
O: 0.4214 0.7393 0.3178  1 V 1.71

Values from the calculation:
Density ... 5.31 g/cm3
Electronic total energy ... -18.9269 eV/atom


[2]
DFT (meta-GGA SCAN) results for a crystal of TaHgP2 relaxed with PBEsol.

abc: 5.8306 5.8306 6.8406
angles: 115.23 115.23 90.00
Last column: nearest neighbours and their distance in Å.
Positions (direct):
Hg: 0.2500 0.7500 0.5000  4 P 2.57
P: 0.4012 0.8750 0.2500  2 Ta 2.39, 2 Hg 2.57
Ta: 0.5000 0.5000 0.0000  4 P 2.39
P: 0.6250 0.5988 0.7500  2 Ta 2.39, 2 Hg 2.57
P: 0.1250 0.1512 0.7500  2 Ta 2.39, 2 Hg 2.57
P: 0.8488 0.3750 0.2500  2 Ta 2.39, 2 Hg 2.57
Hg: 0.0000 0.0000 0.0000  4 P 2.57
Ta: 0.7500 0.2500 0.5000  4 P 2.39

Values from the calculation:
E_form ... 68 meV per atom
Density ... 7.94 g/cm3
Electronic total energy ... -38.8183 eV/atom


[3]
DFT (meta-GGA SCAN) results for a crystal of BaSr2Y relaxed with PBEsol.

abc: 3.9921 3.9921 13.3764
angles: 81.42 81.42 60.00
Last column: nearest neighbours and their distance in Å.
Positions (direct):
Ba: 0.0000 0.0000 0.0000  6 Ba 3.99, 6 Sr 4.25
Sr: 0.2430 0.2430 0.2711  3 Y 3.80, 6 Sr 3.99, 3 Ba 4.25
Y: 0.5000 0.5000 0.5000  6 Sr 3.80, 6 Y 3.99
Sr: 0.7570 0.7570 0.7289  3 Y 3.80, 6 Sr 3.99, 3 Ba 4.25

Values from the calculation:
E_form ... 172 meV per atom
Polymorph energy (0 for the lowest one) ... 0.00 eV per formula unit
Density ... 3.67 g/cm3
Electronic total energy ... -27.8136 eV/atom


[4]
DFT (meta-GGA SCAN) results for a crystal of Cu2MoPt relaxed with PBEsol.

abc: 2.7318 4.4084 4.4084
angles: 90.00 90.00 90.00
Last column: nearest neighbours and their distance in Å.
Positions (direct):
Pt: 0.5000 0.0000 0.0000  8 Cu 2.59, 2 Pt 2.73
Cu: 0.0000 0.0000 0.5000  4 Mo 2.59, 4 Pt 2.59, 2 Cu 2.73
Mo: 0.5000 0.5000 0.5000  8 Cu 2.59, 2 Mo 2.73
Cu: 0.0000 0.5000 0.0000  4 Mo 2.59, 4 Pt 2.59, 2 Cu 2.73

Values from the calculation:
E_form ... 231 meV per atom
Polymorph energy (0 for the lowest one) ... 1.26 eV per formula unit
Density ... 13.08 g/cm3
Electronic total energy ... -33.6379 eV/atom


[5]
DFT (meta-GGA SCAN) results for a crystal of HgOF3 relaxed with PBEsol.

abc: 4.3160 4.3160 4.3160
angles: 90.00 90.00 90.00
Last column: nearest neighbours and their distance in Å.
Positions (direct):
F: 0.5000 0.0000 0.5000  2 Hg 2.16
Hg: 0.5000 0.5000 0.5000  6 F 2.16
O: 0.0000 0.0000 0.0000  12 F 3.05
F: 0.0000 0.5000 0.5000  2 Hg 2.16
F: 0.5000 0.5000 0.0000  2 Hg 2.16

Values from the calculation:
Density ... 5.65 g/cm3
Electronic total energy ... -17.2915 eV/atom


[6]
DFT (meta-GGA SCAN) results for a crystal of Na2FeO2 relaxed with PBEsol.

abc: 2.7995 4.6533 5.4716
angles: 115.17 104.82 90.00
Last column: nearest neighbours and their distance in Å.
Positions (direct):
Fe: 0.5000 0.0000 0.0000  4 O 1.88
O: 0.1325 0.1325 0.2651  2 Fe 1.88
Na: 0.8265 0.3264 0.6529  4 O 2.31-2.36
Na: 0.1734 0.6735 0.3471  4 O 2.31-2.36
O: 0.8674 0.8674 0.7349  2 Fe 1.88

Values from the calculation:
Density ... 3.59 g/cm3
Electronic total energy ... -9.2920 eV/atom


Calculated volume
In order: 13.9, 23.2, 45.5, 13.3, 16.1, 12.4
Unit: Å³ per atom